No. 1
The following is a DFT calculation (PBE) of a geometry-optimized HfTc2Sn structure.

* SG: Cmmm, No. 65
* uncorrected energy: -0.328 hartree per atom
* size of the total moment: 0.036 μB/f.u.

a b c (Å): 6.396 6.406 6.700
angles (deg): 90.00 90.00 90.00
Element x y z (fractional)
Tc 0.500 0.500 0.750
Tc 0.500 0.500 0.250
Tc 0.000 0.500 0.250
Tc 0.500 0.000 0.250
Tc 0.000 0.500 0.750
Tc 0.500 0.000 0.750
Tc 0.000 0.000 0.750
Tc 0.000 0.000 0.250
Sn 0.750 0.250 0.500
Sn 0.250 0.750 0.000
Sn 0.250 0.750 0.500
Sn 0.750 0.250 0.000
Hf 0.250 0.250 0.500
Hf 0.750 0.750 0.500
Hf 0.750 0.750 0.000
Hf 0.250 0.250 0.000

No. 2
The following is a DFT calculation (PBE) of a geometry-optimized Tb2TmIn3AgIr2 structure.

* SG: Amm2, No. 38
* uncorrected energy: -0.196 hartree per atom
* size of the total moment: 0.017 μB/f.u.

a b c (Å): 3.837 7.701 7.701
angles (deg): 119.70 90.00 90.00
Element x y z (fractional)
In 0.500 0.998 0.732
In 0.500 0.270 0.270
In 0.500 0.732 0.998
Ir 0.500 0.666 0.336
Ir 0.500 0.336 0.666
Tm 0.000 0.587 0.587
Ag 0.000 0.999 0.999
Tb 0.000 0.000 0.412
Tb 0.000 0.412 0.000

No. 3
The following is a DFT calculation (PBE) of a geometry-optimized NaZrNO structure.

* SG: Pca2_1, No. 29
* excess energy over the best structure of this formula in the dataset: 190 meV/atom
* size of the total moment: 0.001 μB/f.u.

a b c (Å): 5.476 7.028 5.775
angles (deg): 90.00 90.00 90.00
Element x y z (fractional)
O 0.035 0.916 0.158
O 0.465 0.916 0.658
O 0.965 0.084 0.658
O 0.535 0.084 0.158
N 0.613 0.672 0.174
N 0.387 0.328 0.674
N 0.887 0.672 0.674
N 0.113 0.328 0.174
Zr 0.739 0.848 0.922
Zr 0.761 0.848 0.422
Zr 0.261 0.152 0.422
Zr 0.239 0.152 0.922
Na 0.769 0.392 0.449
Na 0.231 0.608 0.949
Na 0.731 0.392 0.949
Na 0.269 0.608 0.449